# 1
The following is a PBE calculation of HfCdAs2Pb after structural relaxation, from the Alexandria database.

Values from the calculation:
Crystal system: tetragonal
Energy of formation: 582 kJ/mol of formula units
DOS(E_F): 1.099 states/eV per atom
DFT total energy: -3.569 eV/atom

abc: 5.389 5.389 5.216
angles: 90.00 90.00 90.00
Space group P4/mmm (No. 123)
One atom of each set of equivalent atoms:
Hf: 0.000 0.000 0.000
Cd: 0.500 0.500 0.000
As: 0.000 0.500 0.500
Pb: 0.500 0.500 0.500


# 2
The following is a PBE calculation of PW after structural relaxation, from the Alexandria database.

Values from the calculation:
Crystal system: monoclinic
Energy of formation: -46 kJ/mol of formula units
DOS(E_F): 0.438 states/eV per atom
DFT total energy: -9.419 eV/atom

abc: 8.461 3.170 6.579
angles: 90.00 101.84 90.00
Space group Cm (No. 8)
One atom of each set of equivalent atoms:
P: 0.000 0.000 0.000
P: 0.084 0.000 0.595
P: 0.262 0.500 0.388
W: 0.214 0.500 0.989
W: 0.383 0.000 0.685
W: 0.462 0.000 0.285


# 3
The following is a PBE calculation of Zn2SnPb after structural relaxation, from the Alexandria database.

Values from the calculation:
Distance to the lowest polymorph of the same formula: 26 meV/atom
Crystal system: cubic
Energy of formation: 64 kJ/mol of formula units
DOS(E_F): 0.443 states/eV per atom
DFT total energy: -2.399 eV/atom

abc: 7.184 7.184 7.184
angles: 90.00 90.00 90.00
Space group Fm-3m (No. 225)
One atom of each set of equivalent atoms:
Zn: 0.250 0.250 0.250
Sn: 0.000 0.000 0.000
Pb: 0.000 0.000 0.500


# 4
The following is a PBE calculation of CoHCS after structural relaxation, from the Alexandria database.

Values from the calculation:
Distance to the lowest polymorph of the same formula: 85 meV/atom
Crystal system: triclinic
DOS(E_F): 0.255 states/eV per atom
DFT total energy: -5.540 eV/atom

abc: 3.224 3.225 4.809
angles: 107.98 100.26 105.63
Space group P1 (No. 1)
One atom of each set of equivalent atoms:
Co: 0.000 0.000 0.000
H: 0.326 0.360 0.686
C: 0.333 0.584 0.916
S: 0.687 0.548 0.236


# 5
The following is a PBE calculation of Cr2ReRu after structural relaxation, from the Alexandria database.

Values from the calculation:
Crystal system: tetragonal
Energy of formation: 57 kJ/mol of formula units
DOS(E_F): 1.058 states/eV per atom
DFT total energy: -10.094 eV/atom

abc: 3.789 3.789 3.688
angles: 90.00 90.00 90.00
Space group P4/mmm (No. 123)
One atom of each set of equivalent atoms:
Cr: 0.000 0.500 0.000
Re: 0.000 0.000 0.500
Ru: 0.500 0.500 0.500


# 6
The following is a PBE calculation of ReSbIr2 after structural relaxation, from the Alexandria database.

Values from the calculation:
Crystal system: orthorhombic
DOS(E_F): 0.622 states/eV per atom
DFT total energy: -8.249 eV/atom

abc: 2.883 3.831 5.973
angles: 90.00 90.00 90.00
Space group Pmm2 (No. 25)
One atom of each set of equivalent atoms:
Re: 0.000 0.000 0.000
Sb: 0.500 0.500 0.303
Ir: 0.000 0.000 0.547
Ir: 0.500 0.500 0.807


# 7
The following is a PBE calculation of Pr8InPb6 after structural relaxation, from the Alexandria database.

Values from the calculation:
Crystal system: trigonal
Energy of formation: -621 kJ/mol of formula units
DOS(E_F): 0.549 states/eV per atom
DFT total energy: -4.644 eV/atom

abc: 9.6248 9.6248 19.8444
angles: 90.00 90.00 120.00
Space group R-3 (No. 148, hexagonal axes)
One atom of each set of equivalent atoms:
Pr: 0.0000 0.0000 0.1677
Pr: 0.0064 0.2872 0.5961
In: 0.0000 0.0000 0.5000
Pb: 0.0034 0.3679 0.4264


# 8
The following is a PBE calculation of Na4Tb3ErTe8 after structural relaxation, from the Alexandria database.

Values from the calculation:
Crystal system: trigonal
DFT total energy: -4.371 eV/atom

abc: 8.8632 8.8632 22.6991
angles: 90.00 90.00 120.00
Space group R-3m (No. 166, hexagonal axes)
One atom of each set of equivalent atoms:
Na: 0.0000 0.0000 0.0000
Na: 0.0000 0.5000 0.0000
Tb: 0.0000 0.5000 0.5000
Er: 0.0000 0.0000 0.5000
Te: 0.0000 0.0000 0.2444
Te: 0.0026 0.5013 0.2440


Question: What is the formula in the seventh record?
Answer: Pr8InPb6